! Rb2CrFeF6 PBE+U relaxed; values from VASP
&SYSTEM
  ibrav = 0, nat = 10, ntyp = 4
/
ATOMIC_SPECIES
Cr 52.00 Cr.upf
Fe 55.84 Fe.upf
Rb 85.47 Rb.upf
F 19.00 F.upf
CELL_PARAMETERS angstrom
-2.0870 -2.6051 4.9391
-1.1778 -4.9488 -3.1079
2.4404 -5.3169 1.8243
ATOMIC_POSITIONS crystal
Cr 0.5000 0.5000 0.0000
Fe 0.0000 0.0000 0.0000
Rb 0.7500 0.2500 0.5000
Rb 0.2500 0.7500 0.5000
F 0.2256 0.2256 0.5488
F 0.7744 0.7744 0.4512
F 0.2579 0.2579 0.0000
F 0.7421 0.7421 0.0000
F 0.7421 0.2579 0.0000
F 0.2579 0.7421 0.0000
! E_tot = -5.296 eV/atom
! SG = I4/mmm (139)